1.
Entry from Alexandria via LeMat-Bulk: a geometry-optimized AsSe2F structure (GGA-PBE).

a = 6.653 Å, b = 6.653 Å, c = 7.657 Å
α = 90.00°, β = 90.00°, γ = 90.00°
Space group I-42d (No. 122)
Unique sites:
As  0.000  0.000  0.000
Se  0.227  0.750  0.125
F  0.000  0.000  0.500

raw formation energy: -0.220 eV/atom
magnetic moment: 0.0 μB/f.u.
ρ: 4.94 g cm⁻³

=====

2.
Entry from Alexandria via LeMat-Bulk: a geometry-optimized AsSe2F structure (GGA-PBE).

a = 2.9399 Å, b = 2.9399 Å, c = 27.8527 Å
α = 90.00°, β = 90.00°, γ = 120.00°
Space group R-3m (No. 166, hexagonal axes)
Unique sites:
As  0.0000  0.0000  0.0000
Se  0.0000  0.0000  0.0947
F  0.0000  0.0000  0.5000

raw formation energy: -0.018 eV/atom
magnetic moment: 0.0 μB/f.u.
ρ: 6.02 g cm⁻³

=====

3.
Entry from Alexandria via LeMat-Bulk: a geometry-optimized SiAs2SeF structure (GGA-PBE).

a = 4.349 Å, b = 4.349 Å, c = 5.210 Å
α = 90.00°, β = 90.00°, γ = 90.00°
Space group P4/mmm (No. 123)
Unique sites:
Si  0.000  0.000  0.000
As  0.000  0.500  0.500
Se  0.500  0.500  0.000
F  0.500  0.500  0.500

raw formation energy: 0.461 eV/atom
magnetic moment: 0.0 μB/f.u.
ρ: 4.65 g cm⁻³

=====

4.
Entry from Alexandria via LeMat-Bulk: a geometry-optimized SiAs2SeF structure (GGA-PBE).

a = 5.107 Å, b = 5.107 Å, c = 4.033 Å
α = 90.00°, β = 90.00°, γ = 90.00°
Space group P4/mmm (No. 123)
Unique sites:
Si  0.000  0.000  0.000
As  0.000  0.500  0.500
Se  0.500  0.500  0.500
F  0.500  0.500  0.000

raw formation energy: 0.348 eV/atom
magnetic moment: 0.0 μB/f.u.
ρ: 4.35 g cm⁻³

=====

5.
Entry from Alexandria via LeMat-Bulk: a geometry-optimized SiAsSe2F structure (GGA-PBE).

a = 4.731 Å, b = 4.731 Å, c = 4.822 Å
α = 90.00°, β = 90.00°, γ = 90.00°
Space group P4/mmm (No. 123)
Unique sites:
Si  0.000  0.000  0.000
As  0.000  0.000  0.500
Se  0.000  0.500  0.000
F  0.500  0.500  0.500

raw formation energy: 0.299 eV/atom
magnetic moment: 0.0 μB/f.u.
ρ: 4.31 g cm⁻³

=====

6.
Entry from Alexandria via LeMat-Bulk: a geometry-optimized SiAs2SeF structure (GGA-PBE).

a = 4.749 Å, b = 4.749 Å, c = 4.730 Å
α = 90.00°, β = 90.00°, γ = 90.00°
Space group P4/mmm (No. 123)
Unique sites:
Si  0.000  0.000  0.000
As  0.000  0.500  0.000
Se  0.000  0.000  0.500
F  0.500  0.500  0.500

raw formation energy: 0.347 eV/atom
magnetic moment: 0.0 μB/f.u.
ρ: 4.30 g cm⁻³

=====

7.
Entry from Alexandria via LeMat-Bulk: a geometry-optimized SiAsSe2F structure (GGA-PBE).

a = 5.074 Å, b = 5.074 Å, c = 3.995 Å
α = 90.00°, β = 90.00°, γ = 90.00°
Space group P4/mmm (No. 123)
Unique sites:
Si  0.000  0.000  0.000
As  0.500  0.500  0.000
Se  0.000  0.500  0.500
F  0.500  0.500  0.500

raw formation energy: 0.461 eV/atom
magnetic moment: 0.0 μB/f.u.
ρ: 4.52 g cm⁻³

=====

8.
Entry from Alexandria via LeMat-Bulk: a geometry-optimized SrAs2SeF structure (GGA-PBE).

a = 4.478 Å, b = 4.478 Å, c = 5.561 Å
α = 90.00°, β = 90.00°, γ = 90.00°
Space group P4/mmm (No. 123)
Unique sites:
Sr  0.000  0.000  0.000
As  0.000  0.500  0.500
Se  0.500  0.500  0.000
F  0.500  0.500  0.500

raw formation energy: -0.565 eV/atom
magnetic moment: 0.0 μB/f.u.
ρ: 5.00 g cm⁻³

=====

9.
Entry from Alexandria via LeMat-Bulk: a geometry-optimized SrAs2SeF structure (GGA-PBE).

a = 5.901 Å, b = 5.901 Å, c = 5.726 Å
α = 90.00°, β = 90.00°, γ = 90.00°
Space group P4/mmm (No. 123)
Unique sites:
Sr  0.000  0.000  0.000
As  0.000  0.500  0.000
Se  0.000  0.000  0.500
F  0.500  0.500  0.500

raw formation energy: 0.635 eV/atom
magnetic moment: 0.5 μB/f.u.
ρ: 2.79 g cm⁻³

=====

10.
Entry from Alexandria via LeMat-Bulk: a geometry-optimized TaAs2SeF structure (GGA-PBE).

a = 4.986 Å, b = 4.986 Å, c = 4.900 Å
α = 90.00°, β = 90.00°, γ = 90.00°
Space group P4/mmm (No. 123)
Unique sites:
Ta  0.000  0.000  0.000
As  0.000  0.500  0.000
Se  0.000  0.000  0.500
F  0.500  0.500  0.500

raw formation energy: -0.056 eV/atom
magnetic moment: 0.0 μB/f.u.
ρ: 5.84 g cm⁻³

=====

11.
Entry from Alexandria via LeMat-Bulk: a geometry-optimized TaAs2SeF structure (GGA-PBE).

a = 4.218 Å, b = 4.218 Å, c = 5.058 Å
α = 90.00°, β = 90.00°, γ = 90.00°
Space group P4/mmm (No. 123)
Unique sites:
Ta  0.000  0.000  0.000
As  0.000  0.500  0.500
Se  0.500  0.500  0.000
F  0.500  0.500  0.500

raw formation energy: 0.397 eV/atom
magnetic moment: 0.0 μB/f.u.
ρ: 7.91 g cm⁻³

=====

12.
Entry from Alexandria via LeMat-Bulk: a geometry-optimized TcAsSe2F structure (GGA-PBE).

a = 4.956 Å, b = 4.956 Å, c = 4.004 Å
α = 90.00°, β = 90.00°, γ = 90.00°
Space group P4/mmm (No. 123)
Unique sites:
Tc  0.000  0.000  0.000
As  0.500  0.500  0.000
Se  0.000  0.500  0.500
F  0.500  0.500  0.500

raw formation energy: 0.722 eV/atom
magnetic moment: 3.7 μB/f.u.
ρ: 5.91 g cm⁻³

=====

13.
Entry from Alexandria via LeMat-Bulk: a geometry-optimized TcAsSe2F structure (GGA-PBE).

a = 4.784 Å, b = 4.784 Å, c = 4.877 Å
α = 90.00°, β = 90.00°, γ = 90.00°
Space group P4/mmm (No. 123)
Unique sites:
Tc  0.000  0.000  0.000
As  0.000  0.000  0.500
Se  0.000  0.500  0.000
F  0.500  0.500  0.500

raw formation energy: 0.134 eV/atom
magnetic moment: 0.0 μB/f.u.
ρ: 5.20 g cm⁻³

=====

14.
Entry from Alexandria via LeMat-Bulk: a geometry-optimized TeAs2SeF structure (GGA-PBE).

a = 4.345 Å, b = 4.345 Å, c = 5.754 Å
α = 90.00°, β = 90.00°, γ = 90.00°
Space group P4/mmm (No. 123)
Unique sites:
Te  0.000  0.000  0.000
As  0.000  0.500  0.500
Se  0.500  0.500  0.000
F  0.500  0.500  0.500

raw formation energy: 0.327 eV/atom
magnetic moment: 0.0 μB/f.u.
ρ: 5.74 g cm⁻³

=====

15.
Entry from Alexandria via LeMat-Bulk: a geometry-optimized TeAs2SeF structure (GGA-PBE).

a = 5.407 Å, b = 5.407 Å, c = 5.298 Å
α = 90.00°, β = 90.00°, γ = 90.00°
Space group P4/mmm (No. 123)
Unique sites:
Te  0.000  0.000  0.000
As  0.000  0.500  0.000
Se  0.000  0.000  0.500
F  0.500  0.500  0.500

raw formation energy: 0.763 eV/atom
magnetic moment: 1.0 μB/f.u.
ρ: 4.02 g cm⁻³

=====

16.
Entry from Alexandria via LeMat-Bulk: a geometry-optimized TiAsSe2F structure (GGA-PBE).

a = 4.795 Å, b = 4.795 Å, c = 4.962 Å
α = 90.00°, β = 90.00°, γ = 90.00°
Space group P4/mmm (No. 123)
Unique sites:
Ti  0.000  0.000  0.000
As  0.000  0.000  0.500
Se  0.000  0.500  0.000
F  0.500  0.500  0.500

raw formation energy: -0.316 eV/atom
magnetic moment: 0.0 μB/f.u.
ρ: 4.36 g cm⁻³

=====

17.
Entry from Alexandria via LeMat-Bulk: a geometry-optimized TiAsSe2F structure (GGA-PBE).

a = 4.853 Å, b = 4.853 Å, c = 4.051 Å
α = 90.00°, β = 90.00°, γ = 90.00°
Space group P4/mmm (No. 123)
Unique sites:
Ti  0.000  0.000  0.000
As  0.500  0.500  0.000
Se  0.000  0.500  0.500
F  0.500  0.500  0.500

raw formation energy: 0.117 eV/atom
magnetic moment: 0.0 μB/f.u.
ρ: 5.22 g cm⁻³

=====

Energy relative to the lowest polymorph listed for this composition values, unit meV/atom, following the record order: 387, 589, 114, 1, 0, 0, 162, 0, 1201, 0, 453, 588, 0, 0, 436, 0, 433.